1.
Crystalline Sc at its relaxed geometry, computed with PBE.

Computed properties:
Space-group type: I4/mmm (139)
VASP energy in eV for the cell shown: -12.6
Calculated volume in Å³/cell: 47.2
Formation energy from the elements in eV/atom: 0.053
ΔE to the lowest computed polymorph in meV/atom: 53

Cell: 3.1811 3.1811 4.6621 Å, 90.00 90.00 90.00°
Fractional positions:
Sc 0.0000 0.0000 0.0000
Sc 0.5000 0.5000 0.5000

=====

2.
Crystalline Sc at its relaxed geometry, computed with PBE.

Computed properties:
Space-group type: Cmce (64)
VASP energy in eV for the cell shown: -98.4
Calculated volume in Å³/cell: 370.4
Formation energy from the elements in eV/atom: 0.179
ΔE to the lowest computed polymorph in meV/atom: 179

Cell: 9.2120 9.2120 5.0822 Å, 90.00 90.00 59.19°
Fractional positions:
Sc 0.0313 0.3391 0.9951
Sc 0.1038 0.1038 0.5000
Sc 0.1609 0.4687 0.5049
Sc 0.1644 0.8356 0.9669
Sc 0.3356 0.6644 0.4669
Sc 0.3391 0.0313 0.0049
Sc 0.3962 0.3962 0.0000
Sc 0.4687 0.1609 0.4951
Sc 0.5313 0.8391 0.5049
Sc 0.6038 0.6038 0.0000
Sc 0.6609 0.9687 0.9951
Sc 0.6644 0.3356 0.5331
Sc 0.8356 0.1644 0.0331
Sc 0.8391 0.5313 0.4951
Sc 0.8962 0.8962 0.5000
Sc 0.9687 0.6609 0.0049

=====

3.
Crystalline Sc at its relaxed geometry, computed with PBE.

Computed properties:
Space-group type: Pm-3n (223)
VASP energy in eV for the cell shown: -48.9
Calculated volume in Å³/cell: 194.3
Formation energy from the elements in eV/atom: 0.218
ΔE to the lowest computed polymorph in meV/atom: 218

Cell: 5.7915 5.7915 5.7915 Å, 90.00 90.00 90.00°
Fractional positions:
Sc 0.0000 0.0000 0.0000
Sc 0.0000 0.2500 0.5000
Sc 0.0000 0.7500 0.5000
Sc 0.2500 0.5000 0.0000
Sc 0.5000 0.0000 0.2500
Sc 0.5000 0.0000 0.7500
Sc 0.5000 0.5000 0.5000
Sc 0.7500 0.5000 0.0000

=====

4.
Crystalline Sc at its relaxed geometry, computed with PBE.

Computed properties:
Space-group type: R-3m (166)
VASP energy in eV for the cell shown: -18.7
Calculated volume in Å³/cell: 69.2
Formation energy from the elements in eV/atom: 0.098
ΔE to the lowest computed polymorph in meV/atom: 98

Cell: 3.3044 3.3044 7.3213 Å, 90.00 90.00 120.00°
Fractional positions:
Sc 0.0000 0.0000 0.0000
Sc 0.3333 0.6667 0.6667
Sc 0.6667 0.3333 0.3333

=====

5.
Crystalline Sc at its relaxed geometry, computed with PBE.

Computed properties:
Space-group type: Ccce (68)
VASP energy in eV for the cell shown: -60.8
Calculated volume in Å³/cell: 229.6
Formation energy from the elements in eV/atom: 0.251
ΔE to the lowest computed polymorph in meV/atom: 251

Cell: 6.4529 6.4529 5.5288 Å, 90.00 90.00 94.13°
Fractional positions:
Sc 0.0404 0.2557 0.6392
Sc 0.2443 0.4596 0.1392
Sc 0.2500 0.7500 0.7500
Sc 0.2557 0.0404 0.1392
Sc 0.4596 0.2443 0.6392
Sc 0.5404 0.7557 0.3608
Sc 0.7443 0.9596 0.8608
Sc 0.7500 0.2500 0.2500
Sc 0.7557 0.5404 0.8608
Sc 0.9596 0.7443 0.3608

=====

6.
Crystalline Sc at its relaxed geometry, computed with PBE.

Computed properties:
Space-group type: Ibam (72)
VASP energy in eV for the cell shown: -86.2
Calculated volume in Å³/cell: 324.0
Formation energy from the elements in eV/atom: 0.169
ΔE to the lowest computed polymorph in meV/atom: 169

Cell: 8.3360 8.3360 8.3360 Å, 138.58 119.94 75.58°
Fractional positions:
Sc 0.0129 0.4631 0.7824
Sc 0.0776 0.2188 0.2964
Sc 0.1807 0.9631 0.4502
Sc 0.2500 0.2500 0.0000
Sc 0.3193 0.7695 0.7824
Sc 0.4224 0.7188 0.1412
Sc 0.4871 0.2695 0.4502
Sc 0.5129 0.7305 0.5498
Sc 0.5776 0.2812 0.8588
Sc 0.6807 0.2305 0.2176
Sc 0.7500 0.7500 0.0000
Sc 0.8193 0.0369 0.5498
Sc 0.9224 0.7812 0.7036
Sc 0.9871 0.5369 0.2176

=====

7.
Crystalline Sc at its relaxed geometry, computed with PBE.

Computed properties:
Space-group type: R-3m (166)
VASP energy in eV for the cell shown: -56.7
Calculated volume in Å³/cell: 212.0
Formation energy from the elements in eV/atom: 0.025
ΔE to the lowest computed polymorph in meV/atom: 25

Cell: 3.2499 3.2499 23.1721 Å, 90.00 90.00 120.00°
Fractional positions:
Sc 0.0000 0.0000 0.0000
Sc 0.0000 0.0000 0.2219
Sc 0.0000 0.0000 0.7781
Sc 0.3333 0.6667 0.4448
Sc 0.3333 0.6667 0.6667
Sc 0.3333 0.6667 0.8885
Sc 0.6667 0.3333 0.1115
Sc 0.6667 0.3333 0.3333
Sc 0.6667 0.3333 0.5552

=====

8.
Crystalline Sc at its relaxed geometry, computed with PBE.

Computed properties:
Space-group type: Cmce (64)
VASP energy in eV for the cell shown: -48.9
Calculated volume in Å³/cell: 190.3
Formation energy from the elements in eV/atom: 0.212
ΔE to the lowest computed polymorph in meV/atom: 212

Cell: 4.9601 11.1060 3.4544 Å, 90.00 90.00 90.00°
Fractional positions:
Sc 0.0000 0.1383 0.0020
Sc 0.0000 0.3617 0.5020
Sc 0.0000 0.6383 0.4980
Sc 0.0000 0.8617 0.9980
Sc 0.5000 0.1383 0.4980
Sc 0.5000 0.3617 0.9980
Sc 0.5000 0.6383 0.0020
Sc 0.5000 0.8617 0.5020

=====

9.
Crystalline Sc at its relaxed geometry, computed with PBE.

Computed properties:
Space-group type: P-1 (2)
VASP energy in eV for the cell shown: -24.8
Calculated volume in Å³/cell: 91.1
Formation energy from the elements in eV/atom: 0.130
ΔE to the lowest computed polymorph in meV/atom: 130

Cell: 3.1237 3.1273 10.6504 Å, 90.25 97.14 117.77°
Fractional positions:
Sc 0.1040 0.3108 0.1291
Sc 0.3306 0.0553 0.6304
Sc 0.6694 0.9447 0.3696
Sc 0.8960 0.6892 0.8709

=====

10.
Crystalline Sc at its relaxed geometry, computed with PBE.

Computed properties:
Space-group type: P6_3/mmc (194)
VASP energy in eV for the cell shown: -25.2
Calculated volume in Å³/cell: 94.5
Formation energy from the elements in eV/atom: 0.032
ΔE to the lowest computed polymorph in meV/atom: 32

Cell: 3.2457 3.2457 10.3568 Å, 90.00 90.00 120.00°
Fractional positions:
Sc 0.0000 0.0000 0.0000
Sc 0.0000 0.0000 0.5000
Sc 0.3333 0.6667 0.2500
Sc 0.6667 0.3333 0.7500

=====

11.
Crystalline Sc at its relaxed geometry, computed with PBE.

Computed properties:
Space-group type: P4_132 (213)
VASP energy in eV for the cell shown: -123.0
Calculated volume in Å³/cell: 483.4
Formation energy from the elements in eV/atom: 0.177
ΔE to the lowest computed polymorph in meV/atom: 177

Cell: 7.8480 7.8480 7.8480 Å, 90.00 90.00 90.00°
Fractional positions:
Sc 0.0440 0.1250 0.7940
Sc 0.0622 0.9378 0.4378
Sc 0.1250 0.7940 0.0440
Sc 0.1878 0.1878 0.1878
Sc 0.2060 0.5440 0.3750
Sc 0.2940 0.4560 0.8750
Sc 0.3122 0.8122 0.6878
Sc 0.3750 0.2060 0.5440
Sc 0.4378 0.0622 0.9378
Sc 0.4560 0.8750 0.2940
Sc 0.5440 0.3750 0.2060
Sc 0.5622 0.5622 0.5622
Sc 0.6250 0.7060 0.9560
Sc 0.6878 0.3122 0.8122
Sc 0.7060 0.9560 0.6250
Sc 0.7940 0.0440 0.1250
Sc 0.8122 0.6878 0.3122
Sc 0.8750 0.2940 0.4560
Sc 0.9378 0.4378 0.0622
Sc 0.9560 0.6250 0.7060

=====

12.
Crystalline Sc at its relaxed geometry, computed with PBE.

Computed properties:
Space-group type: P4/mmm (123)
VASP energy in eV for the cell shown: -5.6
Calculated volume in Å³/cell: 25.1
Formation energy from the elements in eV/atom: 0.725
ΔE to the lowest computed polymorph in meV/atom: 725

Cell: 2.9414 2.9414 2.8955 Å, 90.00 90.00 90.00°
Fractional positions:
Sc 0.0000 0.0000 0.0000

=====

Sequential size of the total moment output: 0.005 0.005 0.891 0.012 0.003 0.009 0.341 0.002 0.123 0.327 0.458 0.842 μB/atom